Entry 1:
The following is a PBEsol calculation of crystalline BP2PtCl at its relaxed geometry, from Alexandria via LeMat-Bulk.

## Properties
uncorrected formation energy: 0.79 eV per atom
volume: 68.6 Å³ per cell
calculated total energy: -23.6 eV/cell
Fermi-level density of states: 0.44 states/eV per atom
total magnetization: 0.0 Bohr magnetons per cell

```
data_BP2PtCl
_cell_length_a 4.1402
_cell_length_b 4.1402
_cell_length_c 4.0038
_cell_angle_alpha 90.00
_cell_angle_beta 90.00
_cell_angle_gamma 90.00
_space_group_name_H-M_alt 'P 4/m m m'
_space_group_IT_number 123
_space_group_name_Hall '-P 4 2'
loop_
_atom_site_label
_atom_site_type_symbol
_atom_site_fract_x
_atom_site_fract_y
_atom_site_fract_z
B1 B 0.0000 0.0000 0.0000
P1 P 0.0000 0.5000 0.0000
Pt1 Pt 0.5000 0.5000 0.5000
Cl1 Cl 0.0000 0.0000 0.5000
```

=====

Entry 2:
The following is a PBEsol calculation of crystalline BP2RhCl at its relaxed geometry, from Alexandria via LeMat-Bulk.

## Properties
uncorrected formation energy: 0.80 eV per atom
volume: 67.2 Å³ per cell
calculated total energy: -24.7 eV/cell
Fermi-level density of states: 0.63 states/eV per atom
total magnetization: 0.0 Bohr magnetons per cell

```
data_BP2RhCl
_cell_length_a 3.9931
_cell_length_b 3.9931
_cell_length_c 4.2148
_cell_angle_alpha 90.00
_cell_angle_beta 90.00
_cell_angle_gamma 90.00
_space_group_name_H-M_alt 'P 4/m m m'
_space_group_IT_number 123
_space_group_name_Hall '-P 4 2'
loop_
_atom_site_label
_atom_site_type_symbol
_atom_site_fract_x
_atom_site_fract_y
_atom_site_fract_z
B1 B 0.0000 0.0000 0.0000
P1 P 0.0000 0.5000 0.0000
Rh1 Rh 0.5000 0.5000 0.5000
Cl1 Cl 0.0000 0.0000 0.5000
```

=====

Entry 3:
The following is a PBEsol calculation of crystalline TcBP2Cl at its relaxed geometry, from Alexandria via LeMat-Bulk.

## Properties
uncorrected formation energy: 1.18 eV per atom
volume: 99.6 Å³ per cell
calculated total energy: -26.0 eV/cell
Fermi-level density of states: 0.58 states/eV per atom
total magnetization: 0.0 Bohr magnetons per cell

```
data_TcBP2Cl
_cell_length_a 4.4602
_cell_length_b 4.4602
_cell_length_c 5.0051
_cell_angle_alpha 90.00
_cell_angle_beta 90.00
_cell_angle_gamma 90.00
_space_group_name_H-M_alt 'P 4/m m m'
_space_group_IT_number 123
_space_group_name_Hall '-P 4 2'
loop_
_atom_site_label
_atom_site_type_symbol
_atom_site_fract_x
_atom_site_fract_y
_atom_site_fract_z
Tc1 Tc 0.0000 0.0000 0.0000
B1 B 0.5000 0.5000 0.5000
P1 P 0.0000 0.5000 0.0000
Cl1 Cl 0.0000 0.0000 0.5000
```

=====

Entry 4:
The following is a PBEsol calculation of crystalline TlBPCl2 at its relaxed geometry, from Alexandria via LeMat-Bulk.

## Properties
uncorrected formation energy: 1.25 eV per atom
volume: 144.1 Å³ per cell
calculated total energy: -13.2 eV/cell
Fermi-level density of states: 0.53 states/eV per atom
total magnetization: 1.3 Bohr magnetons per cell

```
data_TlBPCl2
_cell_length_a 5.2800
_cell_length_b 5.2800
_cell_length_c 5.1673
_cell_angle_alpha 90.00
_cell_angle_beta 90.00
_cell_angle_gamma 90.00
_space_group_name_H-M_alt 'P 4/m m m'
_space_group_IT_number 123
_space_group_name_Hall '-P 4 2'
loop_
_atom_site_label
_atom_site_type_symbol
_atom_site_fract_x
_atom_site_fract_y
_atom_site_fract_z
Tl1 Tl 0.0000 0.0000 0.0000
B1 B 0.5000 0.5000 0.5000
P1 P 0.0000 0.0000 0.5000
Cl1 Cl 0.0000 0.5000 0.0000
```

=====

Entry 5:
The following is a PBEsol calculation of crystalline B2PbCl at its relaxed geometry, from Alexandria via LeMat-Bulk.

## Properties
uncorrected formation energy: 1.72 eV per atom
volume: 258.1 Å³ per cell
calculated total energy: -52.7 eV/cell
Fermi-level density of states: 0.56 states/eV per atom
total magnetization: 0.0 Bohr magnetons per cell

```
data_B2PbCl
_cell_length_a 6.3666
_cell_length_b 6.3666
_cell_length_c 6.3666
_cell_angle_alpha 90.00
_cell_angle_beta 90.00
_cell_angle_gamma 90.00
_space_group_name_H-M_alt 'F m -3 m'
_space_group_IT_number 225
_space_group_name_Hall '-F 4 2 3'
loop_
_atom_site_label
_atom_site_type_symbol
_atom_site_fract_x
_atom_site_fract_y
_atom_site_fract_z
B1 B 0.2500 0.2500 0.2500
Pb1 Pb 0.0000 0.0000 0.0000
Cl1 Cl 0.0000 0.0000 0.5000
```

=====

Entry 6:
The following is a PBEsol calculation of crystalline B2PbCl at its relaxed geometry, from Alexandria via LeMat-Bulk.

## Properties
uncorrected formation energy: 1.42 eV per atom
volume: 296.5 Å³ per cell
calculated total energy: -57.5 eV/cell
Fermi-level density of states: 0.73 states/eV per atom
total magnetization: 0.1 Bohr magnetons per cell

```
data_B2PbCl
_cell_length_a 5.1304
_cell_length_b 5.1304
_cell_length_c 11.2644
_cell_angle_alpha 90.00
_cell_angle_beta 90.00
_cell_angle_gamma 90.00
_space_group_name_H-M_alt 'I -4 2 d'
_space_group_IT_number 122
_space_group_name_Hall 'I -4 2bw'
loop_
_atom_site_label
_atom_site_type_symbol
_atom_site_fract_x
_atom_site_fract_y
_atom_site_fract_z
B1 B 0.2378 0.2500 0.1250
Pb1 Pb 0.0000 0.0000 0.5000
Cl1 Cl 0.0000 0.0000 0.0000
```

=====

Entry 7:
The following is a PBEsol calculation of crystalline BPbS2Cl at its relaxed geometry, from Alexandria via LeMat-Bulk.

## Properties
uncorrected formation energy: 0.08 eV per atom
volume: 85.3 Å³ per cell
calculated total energy: -21.4 eV/cell
Fermi-level density of states: 0.28 states/eV per atom
total magnetization: 0.0 Bohr magnetons per cell

```
data_BPbS2Cl
_cell_length_a 4.3148
_cell_length_b 4.3148
_cell_length_c 4.5794
_cell_angle_alpha 90.00
_cell_angle_beta 90.00
_cell_angle_gamma 90.00
_space_group_name_H-M_alt 'P 4/m m m'
_space_group_IT_number 123
_space_group_name_Hall '-P 4 2'
loop_
_atom_site_label
_atom_site_type_symbol
_atom_site_fract_x
_atom_site_fract_y
_atom_site_fract_z
B1 B 0.0000 0.0000 0.0000
Pb1 Pb 0.5000 0.5000 0.5000
S1 S 0.0000 0.5000 0.0000
Cl1 Cl 0.0000 0.0000 0.5000
```

=====

Entry 8:
The following is a PBEsol calculation of crystalline BPbSCl2 at its relaxed geometry, from Alexandria via LeMat-Bulk.

## Properties
uncorrected formation energy: 0.80 eV per atom
volume: 145.0 Å³ per cell
calculated total energy: -15.4 eV/cell
Fermi-level density of states: 0.16 states/eV per atom
total magnetization: 0.0 Bohr magnetons per cell

```
data_BPbSCl2
_cell_length_a 5.3189
_cell_length_b 5.3189
_cell_length_c 5.1261
_cell_angle_alpha 90.00
_cell_angle_beta 90.00
_cell_angle_gamma 90.00
_space_group_name_H-M_alt 'P 4/m m m'
_space_group_IT_number 123
_space_group_name_Hall '-P 4 2'
loop_
_atom_site_label
_atom_site_type_symbol
_atom_site_fract_x
_atom_site_fract_y
_atom_site_fract_z
B1 B 0.0000 0.0000 0.0000
Pb1 Pb 0.5000 0.5000 0.5000
S1 S 0.5000 0.5000 0.0000
Cl1 Cl 0.0000 0.5000 0.5000
```

=====

Entry 9:
The following is a PBEsol calculation of crystalline Si2BPbCl at its relaxed geometry, from Alexandria via LeMat-Bulk.

## Properties
uncorrected formation energy: 0.48 eV per atom
volume: 99.2 Å³ per cell
calculated total energy: -22.1 eV/cell
Fermi-level density of states: 0.46 states/eV per atom
total magnetization: 0.0 Bohr magnetons per cell

```
data_Si2BPbCl
_cell_length_a 4.1089
_cell_length_b 4.1089
_cell_length_c 5.8760
_cell_angle_alpha 90.00
_cell_angle_beta 90.00
_cell_angle_gamma 90.00
_space_group_name_H-M_alt 'P 4/m m m'
_space_group_IT_number 123
_space_group_name_Hall '-P 4 2'
loop_
_atom_site_label
_atom_site_type_symbol
_atom_site_fract_x
_atom_site_fract_y
_atom_site_fract_z
Si1 Si 0.0000 0.5000 0.0000
B1 B 0.0000 0.0000 0.0000
Pb1 Pb 0.0000 0.0000 0.5000
Cl1 Cl 0.5000 0.5000 0.5000
```

=====

Entry 10:
The following is a PBEsol calculation of crystalline Sr2BPbCl at its relaxed geometry, from Alexandria via LeMat-Bulk.

## Properties
uncorrected formation energy: 0.37 eV per atom
volume: 162.4 Å³ per cell
calculated total energy: -14.8 eV/cell
Fermi-level density of states: 0.49 states/eV per atom
total magnetization: 0.0 Bohr magnetons per cell

```
data_Sr2BPbCl
_cell_length_a 5.5222
_cell_length_b 5.5222
_cell_length_c 5.3267
_cell_angle_alpha 90.00
_cell_angle_beta 90.00
_cell_angle_gamma 90.00
_space_group_name_H-M_alt 'P 4/m m m'
_space_group_IT_number 123
_space_group_name_Hall '-P 4 2'
loop_
_atom_site_label
_atom_site_type_symbol
_atom_site_fract_x
_atom_site_fract_y
_atom_site_fract_z
Sr1 Sr 0.0000 0.5000 0.0000
B1 B 0.0000 0.0000 0.5000
Pb1 Pb 0.5000 0.5000 0.5000
Cl1 Cl 0.5000 0.5000 0.0000
```

=====

Entry 11:
The following is a PBEsol calculation of crystalline ZrBPb2Cl at its relaxed geometry, from Alexandria via LeMat-Bulk.

## Properties
uncorrected formation energy: 0.97 eV per atom
volume: 153.4 Å³ per cell
calculated total energy: -21.3 eV/cell
Fermi-level density of states: 0.90 states/eV per atom
total magnetization: 0.0 Bohr magnetons per cell

```
data_ZrBPb2Cl
_cell_length_a 5.6619
_cell_length_b 5.6619
_cell_length_c 4.7852
_cell_angle_alpha 90.00
_cell_angle_beta 90.00
_cell_angle_gamma 90.00
_space_group_name_H-M_alt 'P 4/m m m'
_space_group_IT_number 123
_space_group_name_Hall '-P 4 2'
loop_
_atom_site_label
_atom_site_type_symbol
_atom_site_fract_x
_atom_site_fract_y
_atom_site_fract_z
Zr1 Zr 0.0000 0.0000 0.0000
B1 B 0.5000 0.5000 0.5000
Pb1 Pb 0.0000 0.5000 0.0000
Cl1 Cl 0.0000 0.0000 0.5000
```

=====

Entry 12:
The following is a PBEsol calculation of crystalline BPtCl2 at its relaxed geometry, from Alexandria via LeMat-Bulk.

## Properties
uncorrected formation energy: 0.82 eV per atom
volume: 176.5 Å³ per cell
calculated total energy: -44.2 eV/cell
Fermi-level density of states: 0.59 states/eV per atom
total magnetization: 0.0 Bohr magnetons per cell

```
data_BPtCl2
_cell_length_a 2.9763
_cell_length_b 2.9763
_cell_length_c 23.0010
_cell_angle_alpha 90.00
_cell_angle_beta 90.00
_cell_angle_gamma 120.00
_space_group_name_H-M_alt 'R -3 m'
_space_group_IT_number 166
_space_group_name_Hall '-R 3 2"'
loop_
_atom_site_label
_atom_site_type_symbol
_atom_site_fract_x
_atom_site_fract_y
_atom_site_fract_z
B1 B 0.0000 0.0000 0.0000
Pt1 Pt 0.0000 0.0000 0.5000
Cl1 Cl 0.0000 0.0000 0.3947
```

=====

Entry 13:
The following is a PBEsol calculation of crystalline BPt3Cl at its relaxed geometry, from Alexandria via LeMat-Bulk.

## Properties
uncorrected formation energy: 0.39 eV per atom
volume: 74.0 Å³ per cell
calculated total energy: -28.0 eV/cell
Fermi-level density of states: 0.92 states/eV per atom
total magnetization: 0.0 Bohr magnetons per cell

```
data_BPt3Cl
_cell_length_a 4.1989
_cell_length_b 4.1989
_cell_length_c 4.1989
_cell_angle_alpha 90.00
_cell_angle_beta 90.00
_cell_angle_gamma 90.00
_space_group_name_H-M_alt 'P m -3 m'
_space_group_IT_number 221
_space_group_name_Hall '-P 4 2 3'
loop_
_atom_site_label
_atom_site_type_symbol
_atom_site_fract_x
_atom_site_fract_y
_atom_site_fract_z
B1 B 0.0000 0.0000 0.0000
Pt1 Pt 0.0000 0.0000 0.5000
Cl1 Cl 0.5000 0.5000 0.5000
```

=====

Entry 14:
The following is a PBEsol calculation of crystalline BPtSCl2 at its relaxed geometry, from Alexandria via LeMat-Bulk.

## Properties
uncorrected formation energy: 0.95 eV per atom
volume: 106.2 Å³ per cell
calculated total energy: -17.6 eV/cell
Fermi-level density of states: 0.74 states/eV per atom
total magnetization: 0.0 Bohr magnetons per cell

```
data_BPtSCl2
_cell_length_a 4.8428
_cell_length_b 4.8428
_cell_length_c 4.5293
_cell_angle_alpha 90.00
_cell_angle_beta 90.00
_cell_angle_gamma 90.00
_space_group_name_H-M_alt 'P 4/m m m'
_space_group_IT_number 123
_space_group_name_Hall '-P 4 2'
loop_
_atom_site_label
_atom_site_type_symbol
_atom_site_fract_x
_atom_site_fract_y
_atom_site_fract_z
B1 B 0.0000 0.0000 0.0000
Pt1 Pt 0.5000 0.5000 0.5000
S1 S 0.5000 0.5000 0.0000
Cl1 Cl 0.0000 0.5000 0.5000
```